VASP calculation (GGA-PBE) on a relaxed structure of MoRuPt2.

abc: 4.784 4.784 4.784
angles: 131.31 131.34 71.30
Element x y z (fractional)
Mo 0.250 0.750 0.500
Pt 0.750 0.250 0.500
Ru 0.500 0.500 0.000
Pt 0.000 0.000 0.000

## Properties
- crystal system = tetragonal
- Fermi-level density of states (states/eV/cell) = 4.117
- total moment (μB/f.u.) = 0.0
- space-group type = I-4m2, No. 119
- final energy (eV per cell) = -33.0
- excess energy over the best structure of this formula in the dataset (meV per atom) = 0